1.
An optimized crystal structure of Pm3Mg7Pt4, computed with PBE.

Cell: 8.402 8.402 10.524 Å, 122.68 122.68 29.65°
Element x y z (fractional)
Pm 0.000 0.000 0.000
Pm 0.304 0.304 0.287
Pm 0.696 0.696 0.713
Mg 0.000 0.000 0.500
Mg 0.170 0.170 0.431
Mg 0.320 0.320 0.987
Mg 0.486 0.486 0.705
Mg 0.514 0.514 0.295
Mg 0.680 0.680 0.013
Mg 0.830 0.830 0.569
Pt 0.110 0.110 0.820
Pt 0.336 0.336 0.741
Pt 0.664 0.664 0.259
Pt 0.890 0.890 0.180

Calculated values
- calculated volume (Å³ per atom) = 21.78
- spin magnetization (μB per atom) = 0.00
- symmetry = C2/m
- DFT formation energy (eV per atom) = -0.7247

=====

2.
An optimized crystal structure of Pm2MgPt9, computed with PBE.

Cell: 9.418 9.418 9.418 Å, 33.48 33.48 33.48°
Element x y z (fractional)
Pm 0.137 0.137 0.137
Pm 0.863 0.863 0.863
Mg 0.000 0.000 0.000
Pt 0.080 0.586 0.586
Pt 0.333 0.333 0.333
Pt 0.414 0.414 0.920
Pt 0.414 0.920 0.414
Pt 0.500 0.500 0.500
Pt 0.586 0.080 0.586
Pt 0.586 0.586 0.080
Pt 0.667 0.667 0.667
Pt 0.920 0.414 0.414

Calculated values
- calculated volume (Å³ per atom) = 18.87
- spin magnetization (μB per atom) = 0.00
- symmetry = R-3m
- DFT formation energy (eV per atom) = -0.7198

=====

3.
An optimized crystal structure of PmMgPt, computed with PBE.

Cell: 8.565 7.359 7.198 Å, 72.08 54.83 53.09°
Element x y z (fractional)
Pm 0.000 0.000 0.000
Pm 0.000 0.000 0.500
Pm 0.000 0.500 0.000
Pm 0.500 0.000 0.000
Mg 0.249 0.249 0.501
Mg 0.499 0.499 0.751
Mg 0.501 0.501 0.249
Mg 0.751 0.751 0.499
Pt 0.189 0.561 0.189
Pt 0.439 0.811 0.439
Pt 0.561 0.189 0.561
Pt 0.811 0.439 0.811

Calculated values
- calculated volume (Å³ per atom) = 24.67
- spin magnetization (μB per atom) = 0.00
- symmetry = Fddd
- DFT formation energy (eV per atom) = -0.6534
- energy above the lowest structure with this stoichiometry (eV/atom) = 0.259

=====

4.
An optimized crystal structure of PmMg3Pt2, computed with PBE.

Cell: 8.597 8.597 8.879 Å, 120.45 120.45 27.55°
Element x y z (fractional)
Pm 0.133 0.133 0.175
Pm 0.867 0.867 0.825
Mg 0.034 0.034 0.692
Mg 0.321 0.321 0.098
Mg 0.369 0.369 0.499
Mg 0.631 0.631 0.501
Mg 0.679 0.679 0.902
Mg 0.966 0.966 0.308
Pt 0.210 0.210 0.734
Pt 0.496 0.496 0.151
Pt 0.504 0.504 0.849
Pt 0.790 0.790 0.266

Calculated values
- calculated volume (Å³ per atom) = 21.57
- spin magnetization (μB per atom) = 0.00
- symmetry = C2/m
- DFT formation energy (eV per atom) = -0.7562

=====

5.
An optimized crystal structure of Pm8Mg2Pt, computed with PBE.

Cell: 9.419 9.419 7.183 Å, 109.00 109.00 34.22°
Element x y z (fractional)
Pm 0.014 0.014 0.279
Pm 0.198 0.198 0.766
Pm 0.349 0.349 0.563
Pm 0.403 0.403 0.083
Pm 0.597 0.597 0.917
Pm 0.651 0.651 0.437
Pm 0.802 0.802 0.234
Pm 0.986 0.986 0.721
Mg 0.182 0.182 0.195
Mg 0.818 0.818 0.805
Pt 0.500 0.500 0.500

Calculated values
- calculated volume (Å³ per atom) = 30.63
- spin magnetization (μB per atom) = 0.00
- symmetry = C2/m
- DFT formation energy (eV per atom) = -0.1763

=====

6.
An optimized crystal structure of Pm12MgPt6, computed with PBE.

Cell: 8.981 8.981 8.981 Å, 108.90 108.90 108.90°
Element x y z (fractional)
Pm 0.051 0.107 0.346
Pm 0.107 0.346 0.051
Pm 0.169 0.646 0.465
Pm 0.346 0.051 0.107
Pm 0.354 0.535 0.831
Pm 0.465 0.169 0.646
Pm 0.535 0.831 0.354
Pm 0.646 0.465 0.169
Pm 0.654 0.949 0.893
Pm 0.831 0.354 0.535
Pm 0.893 0.654 0.949
Pm 0.949 0.893 0.654
Mg 0.500 0.500 0.500
Pt 0.136 0.712 0.782
Pt 0.218 0.864 0.288
Pt 0.288 0.218 0.864
Pt 0.712 0.782 0.136
Pt 0.782 0.136 0.712
Pt 0.864 0.288 0.218

Calculated values
- calculated volume (Å³ per atom) = 29.96
- spin magnetization (μB per atom) = 0.00
- symmetry = R-3
- DFT formation energy (eV per atom) = -0.6721

=====

7.
An optimized crystal structure of PmMg4Pt, computed with PBE.

Cell: 8.766 4.210 7.494 Å, 90.00 90.00 90.00°
Element x y z (fractional)
Pm 0.250 0.000 0.097
Pm 0.750 0.000 0.903
Mg 0.000 0.000 0.500
Mg 0.062 0.500 0.804
Mg 0.250 0.500 0.454
Mg 0.438 0.500 0.804
Mg 0.500 0.000 0.500
Mg 0.562 0.500 0.196
Mg 0.750 0.500 0.546
Mg 0.938 0.500 0.196
Pt 0.250 0.000 0.705
Pt 0.750 0.000 0.295

Calculated values
- calculated volume (Å³ per atom) = 23.05
- spin magnetization (μB per atom) = 0.00
- symmetry = Pmma
- DFT formation energy (eV per atom) = -0.4640

=====

8.
An optimized crystal structure of PmMgPt, computed with PBE.

Cell: 4.556 4.556 3.864 Å, 90.00 90.00 120.00°
Element x y z (fractional)
Pm 0.000 0.000 0.000
Mg 0.667 0.333 0.500
Pt 0.333 0.667 0.500

Calculated values
- calculated volume (Å³ per atom) = 23.16
- spin magnetization (μB per atom) = 0.00
- symmetry = P-6m2
- DFT formation energy (eV per atom) = -0.6990
- energy above the lowest structure with this stoichiometry (eV/atom) = 0.213

=====

9.
An optimized crystal structure of PmMgPt, computed with PBE.

Cell: 4.775 4.775 4.775 Å, 60.00 60.00 60.00°
Element x y z (fractional)
Pm 0.000 0.000 0.000
Mg 0.500 0.500 0.500
Pt 0.750 0.750 0.750

Calculated values
- calculated volume (Å³ per atom) = 25.67
- spin magnetization (μB per atom) = 0.00
- symmetry = F-43m
- DFT formation energy (eV per atom) = -0.7731
- energy above the lowest structure with this stoichiometry (eV/atom) = 0.139

=====

10.
An optimized crystal structure of PmMgPt, computed with PBE.

Cell: 5.653 5.653 7.500 Å, 119.53 119.53 43.44°
Element x y z (fractional)
Pm 0.070 0.070 0.332
Pm 0.930 0.930 0.668
Mg 0.317 0.317 0.923
Mg 0.683 0.683 0.077
Pt 0.350 0.350 0.322
Pt 0.650 0.650 0.678

Calculated values
- calculated volume (Å³ per atom) = 23.28
- spin magnetization (μB per atom) = 0.00
- symmetry = C2/m
- DFT formation energy (eV per atom) = -0.8569
- energy above the lowest structure with this stoichiometry (eV/atom) = 0.055

=====

| no. | total DFT energy (no corrections) (eV per atom) |
| --- | --- |
| 1 | -4.27 |
| 2 | -6.18 |
| 3 | -4.78 |
| 4 | -4.36 |
| 5 | -4.47 |
| 6 | -5.66 |
| 7 | -3.33 |
| 8 | -4.83 |
| 9 | -4.90 |
| 10 | -4.99 |